Ac3Mn2InN6: relaxed, PBE.

Computed properties:
For the density of states at the Fermi level, the calculation gives 2.05 states/eV per cell. The value obtained for the energy relative to the elements, uncorrected is -56 kJ per mole of atoms. For the total moment, the calculation gives 4.0 μB/cell. Its calculated total energy is -90.3 eV/cell. The theoretical density is 7.88 g/cm3. The space group is No. 164.

Cell and atoms, written as CIF:
```
data_Ac3Mn2InN6
_cell_length_a 5.9007
_cell_length_b 5.9007
_cell_length_c 6.9136
_cell_angle_alpha 90.00
_cell_angle_beta 90.00
_cell_angle_gamma 120.00
_symmetry_space_group_name_H-M 'P 1'
_symmetry_Int_Tables_number 1
_symmetry_space_group_name_Hall 'P 1'
loop_
_atom_site_label
_atom_site_type_symbol
_atom_site_fract_x
_atom_site_fract_y
_atom_site_fract_z
N1 N 0.8303 0.1697 0.7092
Ac1 Ac 0.6667 0.3333 0.3296
N2 N 0.6607 0.8303 0.2908
N3 N 0.3393 0.1697 0.7092
Mn1 Mn 0.6667 0.3333 0.7802
N4 N 0.1697 0.8303 0.2908
In1 In 0.0000 0.0000 0.5000
N5 N 0.8303 0.6607 0.7092
N6 N 0.1697 0.3393 0.2908
Ac2 Ac 0.3333 0.6667 0.6704
Ac3 Ac 0.0000 0.0000 0.0000
Mn2 Mn 0.3333 0.6667 0.2198
```